No. 1
The following is a DFT calculation (GGA-PBE) of CaMn5 after structural relaxation.

```
6
Lattice="2.076 7.962 -2.347 -4.198 -6.605 3.459 2.049 0.455 3.356" Properties=species:S:1:pos:R:3 pbc="T T T"
Ca -4.119 -6.421 3.386
Mn -2.218 -2.008 1.627
Mn 0.118 3.417 -0.536
Mn -0.703 -0.642 2.851
Mn 1.675 4.880 0.650
Mn -2.228 -4.183 4.262
```

---

No. 2
The following is a DFT calculation (GGA-PBE) of LiY2GaC after structural relaxation.

```
5
Lattice="4.891 0.000 0.000 0.000 4.891 0.000 0.000 0.000 4.168" Properties=species:S:1:pos:R:3 pbc="T T T"
Y 0.000 2.446 0.000
Y 2.446 0.000 0.000
C 0.000 0.000 0.000
Ga 2.446 2.446 2.084
Li 0.000 0.000 2.084
```

---

No. 3
The following is a DFT calculation (GGA-PBE) of Cd2Ag5Hg after structural relaxation.

```
16
Lattice="-1.623 -2.865 2.811 1.947 -4.443 -3.403 10.348 -0.024 5.951" Properties=species:S:1:pos:R:3 pbc="T T T"
Cd 6.213 -2.614 4.258
Cd 4.459 -4.717 1.102
Cd 0.990 -2.490 1.368
Cd 9.681 -4.841 3.992
Ag 0.000 0.000 0.000
Ag 6.147 -2.233 1.274
Ag 8.745 -2.277 2.729
Ag 3.550 -2.189 -0.181
Ag 4.511 -4.411 -1.890
Ag 7.784 -0.056 4.438
Ag 8.730 -2.576 5.750
Ag 1.941 -4.755 -0.391
Ag 3.545 -2.540 2.793
Ag 7.126 -4.792 2.566
Hg 5.174 -0.012 2.976
Hg 0.973 -2.221 -1.701
```

Output
- Relative energy among the computed polymorphs: 0.0 meV per atom

---

Raw total energy across the listed records, respectively: -7.565; -5.646; -2.064 eV/atom.
Magnetic moment across the listed records, respectively: 1.60; 0.00; 0.00 Bohr magnetons per cell.
ΔE_f across the listed records, respectively: 0.410; -0.227; -0.015 eV/atom.